No. 1
Computed, not measured: a PBEsol-optimized structure of LiBeAu2 at the SCAN level of DFT.

Unit cell a=8.6838 b=8.6838 c=8.6838 alpha=154.39 beta=154.39 gamma=36.53
Sites, in units of the cell vectors:
Li (0.0000, 0.0000, 0.0000)
Li (0.7500, 0.2500, 0.5000)
Be (0.2500, 0.7500, 0.5000)
Be (0.5000, 0.5000, 0.0000)
Au (0.1318, 0.6250, 0.0068)
Au (0.3750, 0.3818, 0.5068)
Au (0.6182, 0.1250, 0.9932)
Au (0.8750, 0.8682, 0.4932)

Results
Its density of states at the Fermi level is 1.1 states/eV/f.u. Its calculated formation energy is -0.09 eV/atom. The space group is I-42d (122).

---

No. 2
Computed, not measured: a PBEsol-optimized structure of TcSF2 at the SCAN level of DFT.

Unit cell a=9.8932 b=9.8932 c=9.8932 alpha=15.23 beta=15.23 gamma=15.23
Sites, in units of the cell vectors:
Tc (0.0000, 0.0000, 0.0000)
S (0.5000, 0.5000, 0.5000)
F (0.0630, 0.0630, 0.0630)
F (0.9370, 0.9370, 0.9370)

Results
Its density of states at the Fermi level is 2.0 states/eV/f.u. For the energy above the most stable polymorph in this dataset, the calculation gives 0 meV per atom. The value obtained for the uncorrected formation energy is -0.71 eV/atom. The space group is R-3m (166).

---

No. 3
Computed, not measured: a PBEsol-optimized structure of LiMg4Zr at the SCAN level of DFT.

Unit cell a=5.7336 b=5.7336 c=5.7336 alpha=60.00 beta=60.00 gamma=60.00
Sites, in units of the cell vectors:
Li (0.0000, 0.0000, 0.0000)
Mg (0.3760, 0.3760, 0.3760)
Mg (0.3760, 0.3760, 0.8719)
Mg (0.3760, 0.8719, 0.3760)
Mg (0.8719, 0.3760, 0.3760)
Zr (0.7500, 0.7500, 0.7500)

Results
Its density of states at the Fermi level is 3.4 states/eV/f.u. Its calculated formation energy is 0.22 eV/atom. The space group is F-43m (216).

---

No. 4
Computed, not measured: a PBEsol-optimized structure of FeNiBiW2 at the SCAN level of DFT.

Unit cell a=4.4554 b=4.4554 c=4.8744 alpha=90.00 beta=90.00 gamma=90.00
Sites, in units of the cell vectors:
Fe (0.0000, 0.0000, 0.0000)
Ni (0.5000, 0.5000, 0.5000)
Bi (0.5000, 0.5000, 0.0000)
W (0.0000, 0.5000, 0.5000)
W (0.5000, 0.0000, 0.5000)

Results
Its density of states at the Fermi level is 5.6 states/eV/f.u. Its calculated formation energy is 1.89 eV/atom. The space group is P4/mmm (123).

---

No. 5
Computed, not measured: a PBEsol-optimized structure of AlP2I at the SCAN level of DFT.

Unit cell a=4.7264 b=4.7264 c=4.7264 alpha=60.00 beta=60.00 gamma=60.00
Sites, in units of the cell vectors:
Al (0.0000, 0.0000, 0.0000)
P (0.2500, 0.2500, 0.2500)
P (0.7500, 0.7500, 0.7500)
I (0.5000, 0.5000, 0.5000)

Results
Its density of states at the Fermi level is 2.4 states/eV/f.u. The value obtained for the uncorrected formation energy is 0.95 eV/atom. The space group is Fm-3m (225).

---

No. 6
Computed, not measured: a PBEsol-optimized structure of ReSb2TeSe at the SCAN level of DFT.

Unit cell a=5.1332 b=5.1332 c=5.0414 alpha=90.00 beta=90.00 gamma=90.00
Sites, in units of the cell vectors:
Re (0.0000, 0.0000, 0.0000)
Sb (0.0000, 0.5000, 0.0000)
Sb (0.5000, 0.0000, 0.0000)
Te (0.0000, 0.0000, 0.5000)
Se (0.5000, 0.5000, 0.5000)

Results
Its density of states at the Fermi level is 3.6 states/eV/f.u. The value obtained for the uncorrected formation energy is 0.63 eV/atom. The space group is P4/mmm (123).

---

No. 7
Computed, not measured: a PBEsol-optimized structure of Dy4CdS7 at the SCAN level of DFT.

Unit cell a=6.5303 b=6.5303 c=11.4239 alpha=104.75 beta=104.75 gamma=33.67
Sites, in units of the cell vectors:
Dy (0.0000, 0.0000, 0.0000)
Dy (0.3863, 0.3863, 0.6004)
Dy (0.5908, 0.5908, 0.3805)
Dy (0.6942, 0.6942, 0.8124)
Cd (0.8196, 0.8196, 0.2298)
S (0.0343, 0.0343, 0.7548)
S (0.2265, 0.2265, 0.3404)
S (0.3557, 0.3557, 0.8555)
S (0.4453, 0.4453, 0.1576)
S (0.6603, 0.6603, 0.0308)
S (0.7360, 0.7360, 0.5976)
S (0.9666, 0.9666, 0.4560)

Results
Its density of states at the Fermi level is 0.0 states/eV/f.u. The value obtained for the uncorrected formation energy is -2.06 eV/atom. The space group is Cm (8).

---

No. 8
Computed, not measured: a PBEsol-optimized structure of RbYAsBr2 at the SCAN level of DFT.

Unit cell a=5.6036 b=5.6036 c=5.6551 alpha=90.00 beta=90.00 gamma=90.00
Sites, in units of the cell vectors:
Rb (0.0000, 0.0000, 0.0000)
Y (0.5000, 0.5000, 0.5000)
As (0.0000, 0.0000, 0.5000)
Br (0.0000, 0.5000, 0.0000)
Br (0.5000, 0.0000, 0.0000)

Results
Its density of states at the Fermi level is 1.1 states/eV/f.u. The value obtained for the uncorrected formation energy is 0.01 eV/atom. The space group is P4/mmm (123).

---

No. 9
Computed, not measured: a PBEsol-optimized structure of HSe2S at the SCAN level of DFT.

Unit cell a=7.0594 b=7.0594 c=7.0594 alpha=28.00 beta=28.00 gamma=28.00
Sites, in units of the cell vectors:
H (0.0000, 0.0000, 0.0000)
Se (0.3893, 0.3893, 0.3893)
Se (0.6107, 0.6107, 0.6107)
S (0.5000, 0.5000, 0.5000)

Results
Its density of states at the Fermi level is 2.0 states/eV/f.u. The electronic total energy is -0.918 Ry/atom. The space group is R-3m (166).

---

No. 10
Computed, not measured: a PBEsol-optimized structure of NdMg2Ni9 at the SCAN level of DFT.

Unit cell a=8.2433 b=8.2433 c=8.2433 alpha=33.88 beta=33.88 gamma=33.88
Sites, in units of the cell vectors:
Nd (0.0000, 0.0000, 0.0000)
Mg (0.1444, 0.1444, 0.1444)
Mg (0.8556, 0.8556, 0.8556)
Ni (0.0826, 0.5862, 0.5862)
Ni (0.3335, 0.3335, 0.3335)
Ni (0.4138, 0.4138, 0.9174)
Ni (0.4138, 0.9174, 0.4138)
Ni (0.5000, 0.5000, 0.5000)
Ni (0.5862, 0.0826, 0.5862)
Ni (0.5862, 0.5862, 0.0826)
Ni (0.6665, 0.6665, 0.6665)
Ni (0.9174, 0.4138, 0.4138)

Results
Its density of states at the Fermi level is 8.4 states/eV/f.u. Its calculated formation energy is -0.23 eV/atom. The space group is R-3m (166).

---

No. 11
Computed, not measured: a PBEsol-optimized structure of TiSnS2 at the SCAN level of DFT.

Unit cell a=8.6524 b=8.6524 c=8.6524 alpha=22.18 beta=22.18 gamma=22.18
Sites, in units of the cell vectors:
Ti (0.0000, 0.0000, 0.0000)
Sn (0.5000, 0.5000, 0.5000)
S (0.3906, 0.3906, 0.3906)
S (0.6094, 0.6094, 0.6094)

Results
Its density of states at the Fermi level is 1.9 states/eV/f.u. The value obtained for the uncorrected formation energy is -1.09 eV/atom. The space group is R-3m (166).

---

No. 12
Computed, not measured: a PBEsol-optimized structure of KLaW2O8 at the SCAN level of DFT.

Unit cell a=7.4953 b=7.4953 c=7.5612 alpha=114.20 beta=114.20 gamma=92.70
Sites, in units of the cell vectors:
K (0.1925, 0.1925, 0.0282)
K (0.8075, 0.8075, 0.9718)
La (0.1973, 0.8027, 0.5000)
La (0.8027, 0.1973, 0.5000)
W (0.2968, 0.2968, 0.5567)
W (0.3371, 0.6629, 0.0000)
W (0.6629, 0.3371, 0.0000)
W (0.7032, 0.7032, 0.4433)
O (0.0752, 0.0752, 0.3936)
O (0.1566, 0.4068, 0.7625)
O (0.1901, 0.7164, 0.1423)
O (0.2027, 0.4563, 0.4354)
O (0.2836, 0.8099, 0.8577)
O (0.4068, 0.1566, 0.7625)
O (0.4563, 0.2027, 0.4354)
O (0.4849, 0.4849, 0.1563)
O (0.5151, 0.5151, 0.8437)
O (0.5437, 0.7973, 0.5646)
O (0.5932, 0.8434, 0.2375)
O (0.7164, 0.1901, 0.1423)
O (0.7973, 0.5437, 0.5646)
O (0.8099, 0.2836, 0.8577)
O (0.8434, 0.5932, 0.2375)
O (0.9248, 0.9248, 0.6064)

Results
Its density of states at the Fermi level is 0.0 states/eV/f.u. The value obtained for the uncorrected formation energy is -2.74 eV/atom. The space group is C2/m (12).

---

No. 13
Computed, not measured: a PBEsol-optimized structure of CrReW2 at the SCAN level of DFT.

Unit cell a=4.3352 b=4.3352 c=4.3352 alpha=60.00 beta=60.00 gamma=60.00
Sites, in units of the cell vectors:
Cr (0.0000, 0.0000, 0.0000)
Re (0.5000, 0.5000, 0.5000)
W (0.2500, 0.2500, 0.2500)
W (0.7500, 0.7500, 0.7500)

Results
Its density of states at the Fermi level is 2.5 states/eV/f.u. For the energy above the most stable polymorph in this dataset, the calculation gives 0 meV per atom. Its calculated formation energy is -0.01 eV/atom. The space group is Fm-3m (225).

---

No. 14
Computed, not measured: a PBEsol-optimized structure of Al2Ga2Bi at the SCAN level of DFT.

Unit cell a=6.3384 b=6.3384 c=6.3384 alpha=140.75 beta=140.75 gamma=56.72
Sites, in units of the cell vectors:
Al (0.2500, 0.7500, 0.5000)
Al (0.7500, 0.2500, 0.5000)
Ga (0.1102, 0.1102, 0.0000)
Ga (0.8898, 0.8898, 0.0000)
Bi (0.5000, 0.5000, 0.0000)

Results
Its density of states at the Fermi level is 2.5 states/eV/f.u. Its calculated formation energy is 0.15 eV/atom. The space group is I4/mmm (139).

---

No. 15
Computed, not measured: a PBEsol-optimized structure of CsK2GeMo at the SCAN level of DFT.

Unit cell a=6.5564 b=6.5564 c=5.7303 alpha=90.00 beta=90.00 gamma=90.00
Sites, in units of the cell vectors:
Cs (0.0000, 0.0000, 0.0000)
K (0.0000, 0.5000, 0.0000)
K (0.5000, 0.0000, 0.0000)
Ge (0.0000, 0.0000, 0.5000)
Mo (0.5000, 0.5000, 0.5000)

Results
Its density of states at the Fermi level is 3.6 states/eV/f.u. Its calculated formation energy is 1.55 eV/atom. The space group is P4/mmm (123).

---

No. 16
Computed, not measured: a PBEsol-optimized structure of BaTl2Hg at the SCAN level of DFT.

Unit cell a=4.0136 b=4.9884 c=6.4501 alpha=90.00 beta=102.89 gamma=90.00
Sites, in units of the cell vectors:
Ba (0.0000, 0.0000, 0.0000)
Tl (0.3217, 0.5000, 0.7103)
Tl (0.6783, 0.5000, 0.2897)
Hg (0.5000, 0.0000, 0.5000)

Results
Its density of states at the Fermi level is 1.7 states/eV/f.u. For the energy above the most stable polymorph in this dataset, the calculation gives 65 meV per atom. Its calculated formation energy is -0.37 eV/atom. The space group is P2/m (10).

---

No. 17
Computed, not measured: a PBEsol-optimized structure of SrTcSb2 at the SCAN level of DFT.

Unit cell a=4.7300 b=4.7300 c=4.1221 alpha=90.00 beta=90.00 gamma=90.00
Sites, in units of the cell vectors:
Sr (0.0000, 0.0000, 0.0000)
Tc (0.5000, 0.5000, 0.0000)
Sb (0.0000, 0.5000, 0.5000)
Sb (0.5000, 0.0000, 0.5000)

Results
Its density of states at the Fermi level is 2.7 states/eV/f.u. For the energy above the most stable polymorph in this dataset, the calculation gives 324 meV per atom. The value obtained for the uncorrected formation energy is 0.22 eV/atom. The space group is P4/mmm (123).

---

No. 18
Computed, not measured: a PBEsol-optimized structure of YMgBeCl2 at the SCAN level of DFT.

Unit cell a=4.5291 b=4.5291 c=5.5269 alpha=90.00 beta=90.00 gamma=90.00
Sites, in units of the cell vectors:
Y (0.0000, 0.0000, 0.0000)
Mg (0.5000, 0.5000, 0.0000)
Be (0.0000, 0.0000, 0.5000)
Cl (0.0000, 0.5000, 0.5000)
Cl (0.5000, 0.0000, 0.5000)

Results
Its density of states at the Fermi level is 2.6 states/eV/f.u. The value obtained for the uncorrected formation energy is -0.10 eV/atom. The space group is P4/mmm (123).

---

No. 19
Computed, not measured: a PBEsol-optimized structure of MgCrSb at the SCAN level of DFT.

Unit cell a=4.6428 b=4.6428 c=3.2605 alpha=90.00 beta=90.00 gamma=120.00
Sites, in units of the cell vectors:
Mg (0.0000, 0.0000, 0.0000)
Cr (0.6667, 0.3333, 0.5000)
Sb (0.3333, 0.6667, 0.5000)

Results
Its density of states at the Fermi level is 1.4 states/eV/f.u. The value obtained for the uncorrected formation energy is 0.09 eV/atom. The space group is P-6m2 (187).

---

No. 20
Computed, not measured: a PBEsol-optimized structure of BaTeIr2 at the SCAN level of DFT.

Unit cell a=3.4630 b=3.4630 c=7.4882 alpha=90.00 beta=90.00 gamma=90.00
Sites, in units of the cell vectors:
Ba (0.0000, 0.0000, 0.0000)
Te (0.5000, 0.5000, 0.6274)
Ir (0.0000, 0.0000, 0.4578)
Ir (0.5000, 0.5000, 0.2791)

Results
Its density of states at the Fermi level is 2.6 states/eV/f.u. The value obtained for the uncorrected formation energy is 0.22 eV/atom. The space group is P4mm (99).